P.
PrDy2Ti | PBE-GGA | optimized geometry

The density of states at the Fermi level is 6.209 states/eV per cell.

It has space group P4/mmm (No. 123), with a = 3.4113 Å, b = 3.4113 Å, c = 9.8728 Å, α = 90.00°, β = 90.00° and γ = 90.00°. The asymmetric unit holds Pr at (0.0000, 0.0000, 0.0000), Dy at (0.5000, 0.5000, 0.2902) and Ti at (0.0000, 0.0000, 0.5000).



Q.
PrDy2Ti | PBE-GGA | optimized geometry

The density of states at the Fermi level is 15.639 states/eV per cell.

It has space group R-3m (No. 166, hexagonal axes), with a = 3.3869 Å, b = 3.3869 Å, c = 35.6566 Å, α = 90.00°, β = 90.00° and γ = 120.00°. The asymmetric unit holds Pr at (0.0000, 0.0000, 0.0000), Dy at (0.0000, 0.0000, 0.4178) and Ti at (0.0000, 0.0000, 0.5000).



According to the calculations, the structures order from most to least stable as P, Q.



P.
Pr3Dy3Tl2 | PBE-GGA | optimized geometry

The density of states at the Fermi level is 28.969 states/eV per cell.

It has space group R32 (No. 155, hexagonal axes), with a = 8.8449 Å, b = 8.8449 Å, c = 10.9223 Å, α = 90.00°, β = 90.00° and γ = 120.00°. The asymmetric unit holds Pr at (0.0000, 0.2575, 0.0000), Dy at (0.0000, 0.7537, 0.5000) and Tl at (0.0000, 0.0000, 0.2487).



Q.
Pr3Dy3Tl2 | PBE-GGA | optimized geometry

The density of states at the Fermi level is 41.345 states/eV per cell.

It has space group Cmcm (No. 63), with a = 5.1790 Å, b = 12.1597 Å, c = 16.5032 Å, α = 90.00°, β = 90.00° and γ = 90.00°. The asymmetric unit holds Pr at (0.0000, 0.0447, 0.1050), Pr at (0.0000, 0.2822, 0.2500), Dy at (0.0000, 0.3653, 0.0387), Dy at (0.0000, 0.4363, 0.7500) and Tl at (0.0000, 0.2341, 0.6260).



According to the calculations, the structures order from most to least stable as P, Q.



P.
Pr3DyTl | PBE-GGA | optimized geometry

The density of states at the Fermi level is 24.873 states/eV per cell.

It has space group Cmcm (No. 63), with a = 4.9368 Å, b = 26.1319 Å, c = 4.9445 Å, α = 90.00°, β = 90.00° and γ = 90.00°. The asymmetric unit holds Pr at (0.0000, 0.0531, 0.2500), Pr at (0.0000, 0.2507, 0.2500), Pr at (0.0000, 0.4441, 0.2500), Dy at (0.0000, 0.3483, 0.7500) and Tl at (0.0000, 0.1535, 0.7500).



Q.
Pr3DyTl | PBE-GGA | optimized geometry

The density of states at the Fermi level is 24.572 states/eV per cell.

It has space group C2/m (No. 12), with a = 12.4268 Å, b = 5.6451 Å, c = 10.0171 Å, α = 90.00°, β = 109.01° and γ = 90.00°. The asymmetric unit holds Pr at (0.1359, 0.0000, 0.1027), Pr at (0.1532, 0.5000, 0.5316), Pr at (0.2144, 0.0000, 0.7846), Dy at (0.0448, 0.5000, 0.8515) and Tl at (0.0543, 0.0000, 0.3775).



According to the calculations, the structures order from most to least stable as P, Q.



P.
PrDy3Tl4 | PBE-GGA | optimized geometry

The density of states at the Fermi level is 14.884 states/eV per cell.

It has space group Immm (No. 71), with a = 3.5203 Å, b = 7.2910 Å, c = 18.7160 Å, α = 90.00°, β = 90.00° and γ = 90.00°. The asymmetric unit holds Pr at (0.0000, 0.0000, 0.0000), Dy at (0.0000, 0.0000, 0.5000), Dy at (0.0000, 0.5000, 0.2808) and Tl at (0.0000, 0.2877, 0.1291).



Q.
PrDy3Tl4 | PBE-GGA | optimized geometry

The density of states at the Fermi level is 12.111 states/eV per cell.

It has space group Pmma (No. 51), with a = 10.8710 Å, b = 7.6070 Å, c = 5.4345 Å, α = 90.00°, β = 90.00° and γ = 90.00°. The asymmetric unit holds Pr at (0.0000, 0.0000, 0.0000), Dy at (0.0000, 0.5000, 0.0000), Dy at (0.2500, 0.0000, 0.4986), Dy at (0.2500, 0.5000, 0.4985), Tl at (0.0000, 0.2575, 0.5000) and Tl at (0.2500, 0.2575, 0.9984).



According to the calculations, the structures order from most to least stable as Q, P.



P.
Pr2DyTl | PBE-GGA | optimized geometry

The density of states at the Fermi level is 17.726 states/eV per cell.

It has space group Imma (No. 74), with a = 6.8918 Å, b = 8.8342 Å, c = 8.2800 Å, α = 90.00°, β = 90.00° and γ = 90.00°. The asymmetric unit holds Pr at (0.2500, 0.0483, 0.2500), Dy at (0.0000, 0.2500, 0.5667) and Tl at (0.0000, 0.2500, 0.9482).



Q.
Pr2DyTl | PBE-GGA | optimized geometry

The density of states at the Fermi level is 13.076 states/eV per cell.

It has space group R-3m (No. 166, hexagonal axes), with a = 3.6100 Å, b = 3.6100 Å, c = 37.2914 Å, α = 90.00°, β = 90.00° and γ = 120.00°. The asymmetric unit holds Pr at (0.0000, 0.0000, 0.0890), Dy at (0.0000, 0.0000, 0.5000) and Tl at (0.0000, 0.0000, 0.0000).



According to the calculations, the structures order from most to least stable as P, Q.



P.
Pr2DyTl2 | PBE-GGA | optimized geometry

The density of states at the Fermi level is 8.459 states/eV per cell.

It has space group P2_1/m (No. 11), with a = 3.8419 Å, b = 5.4955 Å, c = 14.5861 Å, α = 90.00°, β = 97.58° and γ = 90.00°. The asymmetric unit holds Pr at (0.0480, 0.2500, 0.0954), Pr at (0.2391, 0.2500, 0.4754), Dy at (0.1473, 0.7500, 0.2966), Tl at (0.3559, 0.7500, 0.7118) and Tl at (0.4476, 0.2500, 0.8950).



Q.
Pr2DyTl2 | PBE-GGA | optimized geometry

The density of states at the Fermi level is 24.167 states/eV per cell.

It has space group Cmc2_1 (No. 36), with a = 5.1340 Å, b = 17.8279 Å, c = 6.7161 Å, α = 90.00°, β = 90.00° and γ = 90.00°. The asymmetric unit holds Pr at (0.0000, 0.0081, 0.0000), Pr at (0.0000, 0.2017, 0.4599), Dy at (0.0000, 0.3910, 0.2380), Tl at (0.0000, 0.1930, 0.9685) and Tl at (0.0000, 0.4087, 0.7488).



According to the calculations, the structures order from most to least stable as P, Q.



P.
Pr6DyTl2 | PBE-GGA | optimized geometry

The density of states at the Fermi level is 21.743 states/eV per cell.

It has space group C2/m (No. 12), with a = 13.2792 Å, b = 3.8594 Å, c = 12.3065 Å, α = 90.00°, β = 107.91° and γ = 90.00°. The asymmetric unit holds Pr at (0.0181, 0.0000, 0.3431), Pr at (0.1813, 0.5000, 0.8765), Pr at (0.1946, 0.5000, 0.5934), Dy at (0.0000, 0.0000, 0.0000) and Tl at (0.1359, 0.5000, 0.1928).



Q.
Pr6DyTl2 | PBE-GGA | optimized geometry

The density of states at the Fermi level is 43.001 states/eV per cell.

It has space group C2/c (No. 15), with a = 16.2856 Å, b = 11.9199 Å, c = 6.0631 Å, α = 90.00°, β = 99.10° and γ = 90.00°. The asymmetric unit holds Pr at (0.0586, 0.1131, 0.0350), Pr at (0.1137, 0.3890, 0.3009), Pr at (0.2378, 0.3766, 0.8331), Dy at (0.0000, 0.3540, 0.7500) and Tl at (0.1554, 0.1381, 0.5997).



According to the calculations, the structures order from most to least stable as P, Q.



P.
Pr8Dy2Tl | PBE-GGA | optimized geometry

The density of states at the Fermi level is 30.112 states/eV per cell.

It has space group C2/m (No. 12), with a = 18.5698 Å, b = 5.1018 Å, c = 8.1893 Å, α = 90.00°, β = 105.66° and γ = 90.00°. The asymmetric unit holds Pr at (0.0448, 0.0000, 0.2278), Pr at (0.0911, 0.5000, 0.9437), Pr at (0.1376, 0.0000, 0.6806), Pr at (0.1786, 0.5000, 0.4084), Dy at (0.2248, 0.0000, 0.1327) and Tl at (0.0000, 0.5000, 0.5000).



Q.
Pr8Dy2Tl | PBE-GGA | optimized geometry

The density of states at the Fermi level is 38.027 states/eV per cell.

It has space group Immm (No. 71), with a = 5.6715 Å, b = 7.7408 Å, c = 17.7153 Å, α = 90.00°, β = 90.00° and γ = 90.00°. The asymmetric unit holds Pr at (0.0000, 0.0000, 0.1792), Pr at (0.0000, 0.2264, 0.3626), Pr at (0.0000, 0.2607, 0.0000), Dy at (0.0000, 0.5000, 0.1921) and Tl at (0.0000, 0.5000, 0.5000).



According to the calculations, the structures order from most to least stable as P, Q.



P.
PrDy4Tl2 | PBE-GGA | optimized geometry

The density of states at the Fermi level is 29.252 states/eV per cell.

It has space group C2/m (No. 12), with a = 16.7111 Å, b = 5.4415 Å, c = 9.9195 Å, α = 90.00°, β = 106.45° and γ = 90.00°. The asymmetric unit holds Pr at (0.0988, 0.0000, 0.0744), Dy at (0.0347, 0.0000, 0.6862), Dy at (0.1411, 0.5000, 0.3292), Dy at (0.2022, 0.5000, 0.6928), Dy at (0.2417, 0.5000, 0.0809), Tl at (0.0509, 0.5000, 0.8642) and Tl at (0.1579, 0.0000, 0.4998).



Q.
PrDy4Tl2 | PBE-GGA | optimized geometry

The density of states at the Fermi level is 26.613 states/eV per cell.

It has space group R-3m (No. 166, hexagonal axes), with a = 5.1124 Å, b = 5.1124 Å, c = 31.4978 Å, α = 90.00°, β = 90.00° and γ = 120.00°. The asymmetric unit holds Pr at (0.0000, 0.0000, 0.0000), Dy at (0.0000, 0.0000, 0.2041), Dy at (0.0000, 0.0000, 0.3916) and Tl at (0.0000, 0.0000, 0.1019).



According to the calculations, the structures order from most to least stable as P, Q.



P.
Pr3Dy2Tl2 | PBE-GGA | optimized geometry

The density of states at the Fermi level is 15.637 states/eV per cell.

It has space group Cmmm (No. 65), with a = 5.0226 Å, b = 24.3232 Å, c = 3.5832 Å, α = 90.00°, β = 90.00° and γ = 90.00°. The asymmetric unit holds Pr at (0.0000, 0.0000, 0.0000), Pr at (0.0000, 0.1441, 0.0000), Dy at (0.0000, 0.2870, 0.5000) and Tl at (0.0000, 0.4269, 0.5000).



Q.
Pr3Dy2Tl2 | PBE-GGA | optimized geometry

The density of states at the Fermi level is 13.678 states/eV per cell.

It has space group C2/m (No. 12), with a = 9.6316 Å, b = 5.5708 Å, c = 8.7969 Å, α = 90.00°, β = 111.55° and γ = 90.00°. The asymmetric unit holds Pr at (0.0000, 0.0000, 0.0000), Pr at (0.1569, 0.0000, 0.4707), Dy at (0.0741, 0.5000, 0.7216) and Tl at (0.2129, 0.5000, 0.1392).



According to the calculations, the structures order from most to least stable as Q, P.



P.
PrDy6Tl2 | PBE-GGA | optimized geometry

The density of states at the Fermi level is 22.125 states/eV per cell.

It has space group I-42m (No. 121), with a = 5.6557 Å, b = 5.6557 Å, c = 20.9470 Å, α = 90.00°, β = 90.00° and γ = 90.00°. The asymmetric unit holds Pr at (0.0000, 0.0000, 0.0000), Dy at (0.0000, 0.5000, 0.2500), Dy at (0.1935, 0.1935, 0.5672) and Tl at (0.0000, 0.0000, 0.3084).



Q.
PrDy6Tl2 | PBE-GGA | optimized geometry

The density of states at the Fermi level is 24.662 states/eV per cell.

It has space group C2/m (No. 12), with a = 12.8187 Å, b = 3.7641 Å, c = 12.0602 Å, α = 90.00°, β = 107.77° and γ = 90.00°. The asymmetric unit holds Pr at (0.0000, 0.0000, 0.0000), Dy at (0.0107, 0.0000, 0.3479), Dy at (0.1885, 0.5000, 0.8733), Dy at (0.1904, 0.5000, 0.5819) and Tl at (0.1417, 0.5000, 0.2180).



According to the calculations, the structures order from most to least stable as Q, P.